(1)
This record from Alexandria describes a geometry-optimized MgZn3Hg structure. The functional is GGA-PBEsol.

Lattice parameters (Å, degrees): 5.0147 5.0147 5.0147 90.00 90.00 90.00
With the nearest neighbours (Å) after each atom.
Fractional positions:
Mg 0.0000 0.0000 0.0000  6 Zn 2.51
Zn 0.0000 0.0000 0.5000  2 Mg 2.51
Zn 0.0000 0.5000 0.0000  2 Mg 2.51
Zn 0.5000 0.0000 0.0000  2 Mg 2.51
Hg 0.5000 0.5000 0.5000  12 Zn 3.55

For the total energy, the calculation gives -0.78 eV per atom. Its space group is Pm-3m (221).


(2)
This record from Alexandria describes a geometry-optimized MgZnHg2 structure. The functional is GGA-PBEsol.

Lattice parameters (Å, degrees): 8.9362 3.2561 5.6326 90.00 102.37 90.00
With the nearest neighbours (Å) after each atom.
Fractional positions:
Mg 0.0000 0.0000 0.0000  6 Hg 2.90-2.91
Mg 0.5000 0.5000 0.0000  6 Hg 2.90-2.91
Zn 0.0000 0.5000 0.5000  6 Hg 2.85-2.87
Zn 0.5000 0.0000 0.5000  6 Hg 2.85-2.87
Hg 0.2479 0.0000 0.7411  3 Zn 2.85-2.87, 3 Mg 2.90-2.91, 2 Hg 3.17
Hg 0.2521 0.5000 0.2589  3 Zn 2.85-2.87, 3 Mg 2.90-2.91, 2 Hg 3.17
Hg 0.7479 0.5000 0.7411  3 Zn 2.85-2.87, 3 Mg 2.90-2.91, 2 Hg 3.17
Hg 0.7521 0.0000 0.2589  3 Zn 2.85-2.87, 3 Mg 2.90-2.91, 2 Hg 3.17

For the total energy, the calculation gives -1.20 eV per atom. Its space group is C2/m (12).


(3)
This record from Alexandria describes a geometry-optimized Mg2ZnHg structure. The functional is GGA-PBEsol.

Lattice parameters (Å, degrees): 6.7041 6.7041 6.7041 90.00 90.00 90.00
With the nearest neighbours (Å) after each atom.
Fractional positions:
Mg 0.2500 0.2500 0.2500  4 Hg 2.90, 4 Zn 2.90
Mg 0.2500 0.2500 0.7500  4 Hg 2.90, 4 Zn 2.90
Mg 0.2500 0.7500 0.2500  4 Hg 2.90, 4 Zn 2.90
Mg 0.2500 0.7500 0.7500  4 Hg 2.90, 4 Zn 2.90
Mg 0.7500 0.2500 0.2500  4 Hg 2.90, 4 Zn 2.90
Mg 0.7500 0.2500 0.7500  4 Hg 2.90, 4 Zn 2.90
Mg 0.7500 0.7500 0.2500  4 Hg 2.90, 4 Zn 2.90
Mg 0.7500 0.7500 0.7500  4 Hg 2.90, 4 Zn 2.90
Zn 0.0000 0.0000 0.0000  8 Mg 2.90
Zn 0.0000 0.5000 0.5000  8 Mg 2.90
Zn 0.5000 0.0000 0.5000  8 Mg 2.90
Zn 0.5000 0.5000 0.0000  8 Mg 2.90
Hg 0.0000 0.0000 0.5000  8 Mg 2.90
Hg 0.0000 0.5000 0.0000  8 Mg 2.90
Hg 0.5000 0.0000 0.0000  8 Mg 2.90
Hg 0.5000 0.5000 0.5000  8 Mg 2.90

For the total energy, the calculation gives -1.57 eV per atom. The value obtained for the energy above the lowest structure with this stoichiometry is 0.002 eV/atom. Its space group is Fm-3m (225).


Results for energy of formation: 0.6283; -0.0906; -0.1760 (in eV per atom, following the order of the records).